An optimized crystal structure of Tb4Ni2Pb, computed with PBE-GGA.

Properties
DOS at the Fermi energy   5.472 states/eV/f.u.
Formation energy from the elements   -0.237 eV/atom
Space-group type   No. 166

Cell: 4.699 4.699 9.867 Å, 76.23 76.23 60.00°
Positions (direct):
Tb 0.799 0.799 0.603
Tb 0.389 0.389 0.833
Ni 0.899 0.899 0.303
Ni 0.101 0.101 0.697
Pb 0.000 0.000 0.000
Tb 0.201 0.201 0.397
Tb 0.611 0.611 0.167